Entry 1:
## K2Hg4Au3 (PBE-GGA)

Data for a relaxed K2Hg4Au3 crystal.

For the formation energy, the calculation gives -0.199 eV/atom. The value obtained for the total energy is -60.11 eV for the cell shown. The value obtained for the mass density is 10.40 g cm⁻³. The spin magnetization is 0.000 μB/atom.

It has space group Fmmm (No. 69), with a = 5.805 Å, b = 9.895 Å, c = 16.369 Å, α = 90.00°, β = 90.00° and γ = 90.00°. Symmetry generates all atoms from K at (0.000, 0.000, 0.120), Hg at (0.000, 0.161, 0.329), Au at (0.000, 0.000, 0.500) and Au at (0.250, 0.250, 0.000).

---

Entry 2:
## K2Hg7Au (PBE-GGA)

Data for a relaxed K2Hg7Au crystal.

For the formation energy, the calculation gives -0.098 eV/atom. The value obtained for the total energy is -17.13 eV for the cell shown. The value obtained for the mass density is 7.70 g cm⁻³. For the energy above the most stable polymorph in this dataset, the calculation gives 75 meV/atom. The spin magnetization is 0.000 μB/atom.

It has space group I4/mmm (No. 139), with a = 8.044 Å, b = 8.044 Å, c = 11.195 Å, α = 90.00°, β = 90.00° and γ = 90.00°. Symmetry generates all atoms from K at (0.000, 0.500, 0.250), Hg at (0.000, 0.000, 0.000), Hg at (0.000, 0.000, 0.254), Hg at (0.245, 0.245, 0.500) and Au at (0.000, 0.000, 0.500).

---

Entry 3:
## K2HgAu (PBE-GGA)

Data for a relaxed K2HgAu crystal.

For the formation energy, the calculation gives -0.269 eV/atom. The value obtained for the total energy is -6.85 eV for the cell shown. The value obtained for the mass density is 5.73 g cm⁻³. The spin magnetization is 0.000 μB/atom.

It has space group P4/mmm (No. 123), with a = 4.082 Å, b = 4.082 Å, c = 8.278 Å, α = 90.00°, β = 90.00° and γ = 90.00°. Symmetry generates all atoms from K at (0.000, 0.000, 0.227), Hg at (0.500, 0.500, 0.500) and Au at (0.500, 0.500, 0.000).